Ni4MoRu: relaxed, PBE-GGA.

Summary:
E_form (eV per atom): -0.0013

a b c (Å): 4.672 4.672 4.672
angles (deg): 60.00 60.00 60.00
Fractional coordinates of all 6 atoms:
Ni 0.125 0.125 0.125
Ni 0.125 0.125 0.624
Ni 0.125 0.624 0.125
Ni 0.624 0.125 0.125
Mo 0.750 0.750 0.750
Ru 0.500 0.500 0.500

NdY2Hg: relaxed, PBE-GGA.

Summary:
E_form (eV per atom): -0.2276

a b c (Å): 6.947 10.400 6.791
angles (deg): 90.00 90.00 90.00
Fractional coordinates of all 16 atoms:
Nd 0.016 0.250 0.121
Nd 0.484 0.750 0.621
Nd 0.516 0.250 0.379
Nd 0.984 0.750 0.879
Y 0.191 0.538 0.324
Y 0.191 0.962 0.324
Y 0.309 0.038 0.824
Y 0.309 0.462 0.824
Y 0.691 0.538 0.176
Y 0.691 0.962 0.176
Y 0.809 0.038 0.676
Y 0.809 0.462 0.676
Hg 0.101 0.250 0.579
Hg 0.399 0.750 0.079
Hg 0.601 0.250 0.921
Hg 0.899 0.750 0.421

Rb2OsRuCl6: relaxed, PBE-GGA.

Summary:
ΔE_f (raw) (meV/atom): -654.2

a b c (Å): 6.932 6.932 6.932
angles (deg): 115.49 115.49 98.01
Fractional coordinates of all 10 atoms:
Rb 0.250 0.750 0.500
Rb 0.750 0.250 0.500
Os 0.000 0.000 0.000
Ru 0.500 0.500 0.000
Cl 0.234 0.234 0.467
Cl 0.234 0.766 0.000
Cl 0.250 0.250 0.000
Cl 0.750 0.750 0.000
Cl 0.766 0.234 0.000
Cl 0.766 0.766 0.533

CeHfTc: relaxed, PBE-GGA.

Summary:
E_form (eV per atom): -0.0843

a b c (Å): 7.420 7.420 4.161
angles (deg): 90.00 90.00 120.00
Fractional coordinates of all 9 atoms:
Ce 0.000 0.432 0.000
Ce 0.432 0.000 0.000
Ce 0.568 0.568 0.000
Hf 0.000 0.758 0.500
Hf 0.242 0.242 0.500
Hf 0.758 0.000 0.500
Tc 0.000 0.000 0.000
Tc 0.333 0.667 0.500
Tc 0.667 0.333 0.500

TaRhN2: relaxed, PBE-GGA.

Summary:
ΔE_f (raw) (meV/atom): -336.1

a b c (Å): 6.485 6.485 6.485
angles (deg): 27.46 27.46 27.46
Fractional coordinates of all 4 atoms:
Ta 0.000 0.000 0.000
Rh 0.500 0.500 0.500
N 0.393 0.393 0.393
N 0.607 0.607 0.607

CoSiW2: relaxed, PBE-GGA.

Summary:
ΔE_f (raw) (meV/atom): -11.7

a b c (Å): 2.748 2.748 7.397
angles (deg): 90.00 90.00 100.58
Fractional coordinates of all 4 atoms:
Co 0.000 0.000 0.000
Si 0.500 0.500 0.814
W 0.000 0.000 0.554
W 0.500 0.500 0.256

CrCdHg4: relaxed, PBE-GGA.

Summary:
E_form (eV per atom): 0.4478

a b c (Å): 5.919 5.919 5.919
angles (deg): 60.00 60.00 60.00
Fractional coordinates of all 6 atoms:
Cr 0.000 0.000 0.000
Cd 0.250 0.250 0.250
Hg 0.124 0.625 0.625
Hg 0.625 0.124 0.625
Hg 0.625 0.625 0.124
Hg 0.625 0.625 0.625

Li4Mg2Tl3: relaxed, PBE-GGA.

Summary:
E_form (eV per atom): -0.1630

a b c (Å): 8.790 8.790 5.208
angles (deg): 97.47 97.47 73.97
Fractional coordinates of all 18 atoms:
Li 0.074 0.818 0.975
Li 0.182 0.926 0.525
Li 0.261 0.522 0.696
Li 0.478 0.739 0.804
Li 0.522 0.261 0.196
Li 0.739 0.478 0.304
Li 0.818 0.074 0.475
Li 0.926 0.182 0.025
Mg 0.163 0.396 0.134
Mg 0.396 0.163 0.634
Mg 0.604 0.837 0.366
Mg 0.837 0.604 0.866
Tl 0.031 0.289 0.577
Tl 0.289 0.031 0.077
Tl 0.384 0.616 0.250
Tl 0.616 0.384 0.750
Tl 0.711 0.969 0.923
Tl 0.969 0.711 0.423

BeIn2Si: relaxed, PBE-GGA.

Summary:
ΔE_f (raw) (meV/atom): 521.9

a b c (Å): 4.267 4.267 6.241
angles (deg): 101.69 101.69 45.88
Fractional coordinates of all 4 atoms:
Be 0.000 0.000 0.000
In 0.261 0.261 0.777
In 0.739 0.739 0.223
Si 0.500 0.500 0.500

Tm2Pd6Au: relaxed, PBE-GGA.

Summary:
E_form (eV per atom): -0.6110

a b c (Å): 5.617 5.617 6.161
angles (deg): 90.08 90.08 59.96
Fractional coordinates of all 9 atoms:
Tm 0.167 0.167 0.170
Tm 0.833 0.833 0.830
Pd 0.150 0.675 0.326
Pd 0.325 0.325 0.673
Pd 0.325 0.850 0.674
Pd 0.675 0.150 0.326
Pd 0.675 0.675 0.327
Pd 0.850 0.325 0.674
Au 0.500 0.500 0.000

Cr22MoC6: relaxed, PBE-GGA.

Summary:
E_form (eV per atom): -0.0660

a b c (Å): 7.498 7.498 7.498
angles (deg): 60.00 60.00 60.00
Fractional coordinates of all 29 atoms:
Cr 0.000 0.000 0.345
Cr 0.000 0.000 0.655
Cr 0.000 0.345 0.000
Cr 0.000 0.345 0.655
Cr 0.000 0.655 0.000
Cr 0.000 0.655 0.345
Cr 0.144 0.619 0.619
Cr 0.250 0.250 0.250
Cr 0.345 0.000 0.000
Cr 0.345 0.000 0.655
Cr 0.345 0.655 0.000
Cr 0.381 0.381 0.381
Cr 0.381 0.381 0.856
Cr 0.381 0.856 0.381
Cr 0.619 0.144 0.619
Cr 0.619 0.619 0.144
Cr 0.619 0.619 0.619
Cr 0.655 0.000 0.000
Cr 0.655 0.000 0.345
Cr 0.655 0.345 0.000
Cr 0.750 0.750 0.750
Cr 0.856 0.381 0.381
Mo 0.000 0.000 0.000
C 0.276 0.276 0.724
C 0.276 0.724 0.276
C 0.276 0.724 0.724
C 0.724 0.276 0.276
C 0.724 0.276 0.724
C 0.724 0.724 0.276

CoNi4Pd2: relaxed, PBE-GGA.

Summary:
E_form (eV per atom): 0.2122

a b c (Å): 8.504 8.504 8.309
angles (deg): 90.00 90.00 162.47
Fractional coordinates of all 14 atoms:
Co 0.128 0.872 0.750
Co 0.872 0.128 0.250
Ni 0.000 0.000 0.000
Ni 0.000 0.000 0.500
Ni 0.260 0.740 0.117
Ni 0.260 0.740 0.383
Ni 0.494 0.506 0.250
Ni 0.506 0.494 0.750
Ni 0.740 0.260 0.617
Ni 0.740 0.260 0.883
Pd 0.374 0.626 0.578
Pd 0.374 0.626 0.922
Pd 0.626 0.374 0.078
Pd 0.626 0.374 0.422